## Er4TmCd (PBE)

Data for an optimized crystal structure of Er4TmCd.

a = 3.512 Å, b = 3.512 Å, c = 14.061 Å
α = 90.00°, β = 90.00°, γ = 90.00°
Space group P4/mmm (No. 123)
Unique sites:
Er: 0.000 0.000 0.149 (multiplicity 2)
Er: 0.500 0.500 0.325 (multiplicity 2)
Tm: 0.000 0.000 0.500 (multiplicity 1)
Cd: 0.500 0.500 0.000 (multiplicity 1)

Values from the calculation:
**Energy of formation**: -0.087 eV/atom